Compound: MnNiF2
Source: Alexandria via LeMat-Bulk
Functional: GGA+U
Structure: relaxed

The structure in POSCAR format:
```
MnNiF2
1.0
1.858 0.000 6.671
-0.929 1.609 6.671
-0.929 -1.609 6.671
Ni Mn F
1 1 2
direct
0.500 0.500 0.500 Ni
0.000 0.000 0.000 Mn
0.886 0.886 0.886 F
0.114 0.114 0.114 F
```

Values from the calculation:
VASP energy	-17.1	eV per cell
N(E_F)	1.473	states/eV/atom
relative energy among the computed polymorphs	320	meV per atom